This record from the Alexandria database describes a geometry-optimized LaCuP2O structure. The functional is GGA-PBEsol.

Results
**E**: -5.838 eV/atom
**Calculated density**: 5.67 g/cm³
**Crystal system**: tetragonal
**Symmetry**: P4/mmm, No. 123

Lattice parameters (Å, degrees): 4.211 4.417 4.417 90.00 90.00 90.00
Atoms (fractional coordinates):
La (0.500, 0.500, 0.500)
Cu (0.000, 0.000, 0.000)
P (0.000, 0.000, 0.500)
O (0.500, 0.000, 0.000)
P (0.000, 0.500, 0.000)

This record from the Alexandria database describes a geometry-optimized Sn5P2O10 structure. The functional is GGA-PBEsol.

Results
**E**: -6.751 eV/atom
**Calculated density**: 4.75 g/cm³
**Crystal system**: triclinic
**Symmetry**: P-1, No. 2

Lattice parameters (Å, degrees): 7.108 7.125 12.871 87.36 84.63 61.52
Atoms (fractional coordinates):
Sn (0.662, 0.315, 0.381)
Sn (0.338, 0.685, 0.619)
O (0.659, 0.873, 0.830)
O (0.363, 0.778, 0.801)
O (0.090, 0.701, 0.506)
Sn (0.805, 0.794, 0.626)
Sn (0.928, 0.248, 0.129)
P (0.468, 0.244, 0.123)
O (0.107, 0.619, 0.316)
P (0.063, 0.800, 0.394)
Sn (0.432, 0.776, 0.143)
O (0.910, 0.299, 0.494)
O (0.174, 0.026, 0.611)
O (0.341, 0.127, 0.170)
Sn (0.977, 0.702, 0.166)
P (0.532, 0.756, 0.877)
O (0.903, 0.082, 0.853)
O (0.307, 0.483, 0.107)
O (0.826, 0.974, 0.389)
Sn (0.072, 0.752, 0.871)
O (0.893, 0.381, 0.684)
O (0.923, 0.311, 0.287)
O (0.637, 0.222, 0.199)
O (0.228, 0.882, 0.369)
Sn (0.023, 0.298, 0.834)
O (0.077, 0.689, 0.713)
Sn (0.568, 0.224, 0.857)
O (0.405, 0.859, 0.980)
O (0.595, 0.141, 0.020)
P (0.937, 0.200, 0.606)
O (0.097, 0.918, 0.147)
Sn (0.195, 0.206, 0.374)
O (0.772, 0.118, 0.631)
O (0.693, 0.517, 0.893)

This record from the Alexandria database describes a geometry-optimized Li2AgOs structure. The functional is GGA-PBEsol.

Results
**E**: -4.574 eV/atom
**Calculated density**: 8.46 g/cm³
**Crystal system**: tetragonal
**Formation energy**: 0.29 eV per atom
**Energy above the most stable polymorph in this dataset**: 36 meV per atom
**Symmetry**: P4mm, No. 99

Lattice parameters (Å, degrees): 2.601 2.601 9.054 90.00 90.00 90.00
Atoms (fractional coordinates):
Li (0.500, 0.500, 0.275)
Li (0.000, 0.000, 0.980)
Os (0.000, 0.000, 0.497)
Ag (0.500, 0.500, 0.748)

This record from the Alexandria database describes a geometry-optimized CaHfBe2Hg structure. The functional is GGA-PBEsol.

Results
**E**: -3.481 eV/atom
**Calculated density**: 6.64 g/cm³
**Crystal system**: tetragonal
**Formation energy**: 0.76 eV per atom
**Symmetry**: P4/mmm, No. 123

Lattice parameters (Å, degrees): 4.526 4.526 5.340 90.00 90.00 90.00
Atoms (fractional coordinates):
Ca (0.500, 0.500, 0.500)
Be (0.500, 0.000, 0.000)
Hg (0.000, 0.000, 0.000)
Be (0.000, 0.500, 0.000)
Hf (0.000, 0.000, 0.500)

This record from the Alexandria database describes a geometry-optimized BeCdCl2 structure. The functional is GGA-PBEsol.

Results
**E**: -2.489 eV/atom
**Calculated density**: 4.37 g/cm³
**Crystal system**: tetragonal
**Energy above the most stable polymorph in this dataset**: 577 meV per atom
**Symmetry**: P4mm, No. 99

Lattice parameters (Å, degrees): 3.088 3.088 7.670 90.00 90.00 90.00
Atoms (fractional coordinates):
Be (0.000, 0.000, 0.462)
Cl (0.500, 0.500, 0.326)
Cd (0.500, 0.500, 0.745)
Cl (0.000, 0.000, 0.968)

This record from the Alexandria database describes a geometry-optimized NiSe2Br structure. The functional is GGA-PBEsol.

Results
**E**: -3.286 eV/atom
**Calculated density**: 6.94 g/cm³
**Crystal system**: tetragonal
**Energy above the most stable polymorph in this dataset**: 912 meV per atom
**Symmetry**: P4/mmm, No. 123

Lattice parameters (Å, degrees): 2.962 4.894 4.894 90.00 90.00 90.00
Atoms (fractional coordinates):
Se (0.000, 0.500, 0.000)
Ni (0.500, 0.000, 0.000)
Br (0.500, 0.500, 0.500)
Se (0.000, 0.000, 0.500)

This record from the Alexandria database describes a geometry-optimized CaFe3Cl structure. The functional is GGA-PBEsol.

Results
**E**: -4.082 eV/atom
**Calculated density**: 3.94 g/cm³
**Crystal system**: cubic
**Symmetry**: Pm-3m, No. 221

Lattice parameters (Å, degrees): 4.680 4.680 4.680 90.00 90.00 90.00
Atoms (fractional coordinates):
Fe (0.500, 0.000, 0.000)
Cl (0.500, 0.500, 0.500)
Ca (0.000, 0.000, 0.000)
Fe (0.000, 0.000, 0.500)
Fe (0.000, 0.500, 0.000)

This record from the Alexandria database describes a geometry-optimized Y2AlAg structure. The functional is GGA-PBEsol.

Results
**E**: -5.652 eV/atom
**Calculated density**: 5.68 g/cm³
**Crystal system**: tetragonal
**Formation energy**: -0.39 eV per atom
**Symmetry**: P4/mmm, No. 123

Lattice parameters (Å, degrees): 3.490 3.490 7.500 90.00 90.00 90.00
Atoms (fractional coordinates):
Y (0.000, 0.000, 0.248)
Y (0.000, 0.000, 0.752)
Ag (0.500, 0.500, 0.000)
Al (0.500, 0.500, 0.500)

This record from the Alexandria database describes a geometry-optimized Ta2SbTe structure. The functional is GGA-PBEsol.

Results
**E**: -8.298 eV/atom
**Calculated density**: 12.87 g/cm³
**Crystal system**: monoclinic
**Energy above the most stable polymorph in this dataset**: 0 meV per atom
**Symmetry**: Cm, No. 8

Lattice parameters (Å, degrees): 3.402 4.997 5.132 105.69 109.35 90.00
Atoms (fractional coordinates):
Sb (0.260, 0.805, 0.521)
Ta (0.746, 0.291, 0.493)
Ta (0.003, 0.955, 0.006)
Te (0.490, 0.448, 0.980)

This record from the Alexandria database describes a geometry-optimized CsRe3Si structure. The functional is GGA-PBEsol.

Results
**E**: -5.004 eV/atom
**Calculated density**: 10.37 g/cm³
**Crystal system**: cubic
**Symmetry**: Pm-3m, No. 221

Lattice parameters (Å, degrees): 4.866 4.866 4.866 90.00 90.00 90.00
Atoms (fractional coordinates):
Cs (0.000, 0.000, 0.000)
Si (0.500, 0.500, 0.500)
Re (0.000, 0.000, 0.500)
Re (0.000, 0.500, 0.000)
Re (0.500, 0.000, 0.000)

This record from the Alexandria database describes a geometry-optimized BeSbN2F structure. The functional is GGA-PBEsol.

Results
**E**: -5.616 eV/atom
**Calculated density**: 6.36 g/cm³
**Crystal system**: tetragonal
**Symmetry**: P4/mmm, No. 123

Lattice parameters (Å, degrees): 3.313 3.745 3.745 90.00 90.00 90.00
Atoms (fractional coordinates):
N (0.000, 0.500, 0.000)
Be (0.000, 0.000, 0.000)
F (0.500, 0.000, 0.000)
N (0.000, 0.000, 0.500)
Sb (0.500, 0.500, 0.500)

This record from the Alexandria database describes a geometry-optimized Ag2HgPt structure. The functional is GGA-PBEsol.

Results
**E**: -3.530 eV/atom
**Calculated density**: 14.92 g/cm³
**Crystal system**: orthorhombic
**Formation energy**: 0.01 eV per atom
**Symmetry**: Immm, No. 71

Lattice parameters (Å, degrees): 2.964 4.740 5.593 115.07 105.36 90.00
Atoms (fractional coordinates):
Ag (0.744, 0.744, 0.489)
Pt (0.000, 0.500, 0.000)
Ag (0.256, 0.256, 0.511)
Hg (0.500, 0.000, 0.000)

This record from the Alexandria database describes a geometry-optimized BeRu structure. The functional is GGA-PBEsol.

Results
**E**: -6.434 eV/atom
**Calculated density**: 7.08 g/cm³
**Crystal system**: hexagonal
**Formation energy**: 0.65 eV per atom
**Symmetry**: P6_3/mmc, No. 194

Lattice parameters (Å, degrees): 3.718 3.718 4.314 90.00 90.00 120.00
Atoms (fractional coordinates):
Be (0.667, 0.333, 0.250)
Ru (0.333, 0.667, 0.250)
Ru (0.667, 0.333, 0.750)
Be (0.333, 0.667, 0.750)

This record from the Alexandria database describes a geometry-optimized FeWAu structure. The functional is GGA-PBEsol.

Results
**E**: -7.778 eV/atom
**Calculated density**: 13.88 g/cm³
**Crystal system**: cubic
**Formation energy**: 1.12 eV per atom
**Energy above the most stable polymorph in this dataset**: 811 meV per atom
**Symmetry**: F-43m, No. 216

Lattice parameters (Å, degrees): 4.196 4.196 4.196 60.00 60.00 60.00
Atoms (fractional coordinates):
W (0.500, 0.500, 0.500)
Au (0.250, 0.250, 0.250)
Fe (0.000, 0.000, 0.000)

This record from the Alexandria database describes a geometry-optimized CdMo2As structure. The functional is GGA-PBEsol.

Results
**E**: -7.086 eV/atom
**Calculated density**: 9.60 g/cm³
**Crystal system**: orthorhombic
**Formation energy**: 0.37 eV per atom
**Energy above the most stable polymorph in this dataset**: 233 meV per atom
**Symmetry**: Cmmm, No. 65

Lattice parameters (Å, degrees): 2.844 2.844 8.718 90.00 90.00 111.50
Atoms (fractional coordinates):
As (0.500, 0.500, 0.500)
Cd (0.500, 0.500, 0.000)
Mo (0.000, 0.000, 0.723)
Mo (0.000, 0.000, 0.277)

This record from the Alexandria database describes a geometry-optimized Y2Cu5Ni5 structure. The functional is GGA-PBEsol.

Results
**E**: -5.785 eV/atom
**Calculated density**: 8.08 g/cm³
**Crystal system**: orthorhombic
**Formation energy**: -0.28 eV per atom
**Symmetry**: Pmmm, No. 47

Lattice parameters (Å, degrees): 3.909 4.907 8.456 90.00 90.00 90.00
Atoms (fractional coordinates):
Cu (0.000, 0.500, 0.167)
Ni (0.500, 0.500, 0.000)
Ni (0.500, 0.749, 0.751)
Cu (0.000, 0.500, 0.833)
Cu (0.000, 0.000, 0.670)
Ni (0.500, 0.749, 0.249)
Cu (0.500, 0.000, 0.500)
Ni (0.500, 0.251, 0.249)
Cu (0.000, 0.000, 0.330)
Y (0.000, 0.500, 0.500)
Y (0.000, 0.000, 0.000)
Ni (0.500, 0.251, 0.751)

This record from the Alexandria database describes a geometry-optimized KAg3B structure. The functional is GGA-PBEsol.

Results
**E**: -3.263 eV/atom
**Calculated density**: 6.74 g/cm³
**Crystal system**: cubic
**Formation energy**: 0.35 eV per atom
**Symmetry**: Pm-3m, No. 221

Lattice parameters (Å, degrees): 4.516 4.516 4.516 90.00 90.00 90.00
Atoms (fractional coordinates):
Ag (0.000, 0.500, 0.000)
B (0.000, 0.000, 0.000)
K (0.500, 0.500, 0.500)
Ag (0.500, 0.000, 0.000)
Ag (0.000, 0.000, 0.500)

This record from the Alexandria database describes a geometry-optimized TlPRuCl2 structure. The functional is GGA-PBEsol.

Results
**E**: -3.245 eV/atom
**Calculated density**: 4.98 g/cm³
**Crystal system**: tetragonal
**Symmetry**: P4/mmm, No. 123

Lattice parameters (Å, degrees): 5.140 5.139 5.139 90.00 90.00 90.00
Atoms (fractional coordinates):
Cl (0.000, 0.500, 0.000)
Ru (0.500, 0.500, 0.500)
Cl (0.000, 0.000, 0.500)
Tl (0.000, 0.000, 0.000)
P (0.500, 0.000, 0.000)

This record from the Alexandria database describes a geometry-optimized Cs3Pr5P6S24 structure. The functional is GGA-PBEsol.

Results
**E**: -5.558 eV/atom
**Calculated density**: 3.13 g/cm³
**Crystal system**: monoclinic
**Symmetry**: Cc, No. 9

Lattice parameters (Å, degrees): 10.433 10.433 21.080 79.83 79.83 77.96
Atoms (fractional coordinates):
S (0.032, 0.795, 0.304)
P (0.645, 0.384, 0.904)
S (0.329, 0.525, 0.021)
S (0.522, 0.505, 0.846)
Cs (0.188, 0.450, 0.286)
S (0.560, 0.221, 0.942)
P (0.922, 0.179, 0.399)
P (0.842, 0.762, 0.337)
S (0.828, 0.320, 0.857)
Pr (0.938, 0.174, 0.568)
S (0.049, 0.843, 0.974)
P (0.080, 0.821, 0.601)
S (0.475, 0.667, 0.480)
S (0.159, 0.951, 0.527)
S (0.977, 0.324, 0.436)
S (0.914, 0.922, 0.650)
S (0.815, 0.607, 0.299)
S (0.282, 0.064, 0.682)
P (0.353, 0.616, 0.097)
S (0.391, 0.187, 0.202)
S (0.088, 0.079, 0.350)
Pr (0.485, 0.709, 0.926)
S (0.717, 0.936, 0.316)
S (0.683, 0.172, 0.644)
S (0.708, 0.829, 0.937)
S (0.265, 0.784, 0.840)
S (0.494, 0.476, 0.654)
Pr (0.063, 0.827, 0.433)
P (0.821, 0.080, 0.101)
Pr (0.514, 0.291, 0.075)
S (0.064, 0.282, 0.182)
S (0.967, 0.208, 0.697)
S (0.525, 0.329, 0.521)
P (0.179, 0.922, 0.899)
S (0.607, 0.815, 0.799)
S (0.221, 0.560, 0.442)
S (0.843, 0.049, 0.474)
Pr (0.935, 0.067, 0.250)
S (0.951, 0.159, 0.027)
S (0.023, 0.677, 0.565)
S (0.320, 0.828, 0.357)
S (0.168, 0.296, 0.563)
S (0.667, 0.475, 0.980)
Cs (0.002, 0.511, 0.969)
S (0.829, 0.708, 0.437)
Pr (0.291, 0.514, 0.575)
S (0.324, 0.977, 0.936)
P (0.384, 0.645, 0.404)
S (0.441, 0.778, 0.058)
P (0.762, 0.842, 0.837)
S (0.215, 0.734, 0.661)
Cs (0.450, 0.188, 0.786)
Pr (0.827, 0.063, 0.933)
S (0.778, 0.441, 0.558)
S (0.187, 0.391, 0.702)
S (0.476, 0.494, 0.154)
P (0.238, 0.157, 0.163)
Pr (0.709, 0.485, 0.426)
Cs (0.804, 0.552, 0.713)
S (0.795, 0.032, 0.804)
S (0.079, 0.088, 0.850)
Cs (0.511, 0.002, 0.469)
S (0.936, 0.717, 0.816)
S (0.296, 0.168, 0.063)
S (0.784, 0.265, 0.340)
S (0.734, 0.215, 0.161)
S (0.677, 0.023, 0.065)
S (0.922, 0.914, 0.150)
P (0.157, 0.238, 0.663)
S (0.505, 0.522, 0.346)
S (0.172, 0.683, 0.144)
Cs (0.552, 0.804, 0.213)
P (0.616, 0.353, 0.597)
Pr (0.174, 0.938, 0.068)
Pr (0.067, 0.935, 0.750)
S (0.208, 0.967, 0.197)

This record from the Alexandria database describes a geometry-optimized BaP2Rh structure. The functional is GGA-PBEsol.

Results
**E**: -6.313 eV/atom
**Calculated density**: 6.26 g/cm³
**Crystal system**: trigonal
**Formation energy**: -0.85 eV per atom
**Symmetry**: R-3m, No. 166

Lattice parameters (Å, degrees): 4.059 4.059 6.086 70.52 70.52 60.00
Atoms (fractional coordinates):
Ba (0.500, 0.500, 0.500)
P (0.295, 0.295, 0.115)
P (0.705, 0.705, 0.885)
Rh (0.000, 0.000, 0.000)